Record 1
VASP calculation (GGA-PBE) on a geometry-optimized CePaReRu structure.

Geometry as CIF:
```
data_CePaReRu
_symmetry_space_group_name_H-M 'F -4 3 m'
_symmetry_Int_Tables_number 216
_symmetry_space_group_name_Hall 'F -4 2 3'
_cell_length_a 6.907
_cell_length_b 6.907
_cell_length_c 6.907
_cell_angle_alpha 90.00
_cell_angle_beta 90.00
_cell_angle_gamma 90.00
loop_
_atom_site_label
_atom_site_fract_x
_atom_site_fract_y
_atom_site_fract_z
Ce1 0.000 0.000 0.000
Pa1 0.000 0.000 0.500
Re1 0.250 0.250 0.250
Ru1 0.250 0.250 0.750
```

Summary:
Total magnetic moment in μB/f.u.: 0.0
Formation energy in kJ/mol of formula units: -33
Calculated total energy in eV per atom: -9.374

=====

Record 2
VASP calculation (GGA-PBE) on a geometry-optimized SiTeSeN2 structure.

Geometry as CIF:
```
data_SiTeSeN2
_symmetry_space_group_name_H-M 'P 4/m m m'
_symmetry_Int_Tables_number 123
_symmetry_space_group_name_Hall '-P 4 2'
_cell_length_a 3.980
_cell_length_b 3.980
_cell_length_c 5.768
_cell_angle_alpha 90.00
_cell_angle_beta 90.00
_cell_angle_gamma 90.00
loop_
_atom_site_label
_atom_site_fract_x
_atom_site_fract_y
_atom_site_fract_z
Si1 0.000 0.000 0.000
Te1 0.500 0.500 0.500
Se1 0.500 0.500 0.000
N1 0.000 0.500 0.500
```

Summary:
Total magnetic moment in μB/f.u.: 0.0
Polymorph energy (0 for the lowest one) in meV per atom: 651
Uncorrected formation energy in eV per atom: 1.45
Calculated total energy in eV per atom: -4.288

=====

Record 3
VASP calculation (GGA-PBE) on a geometry-optimized LaEr2ThSc4 structure.

Geometry as CIF:
```
data_LaEr2ThSc4
_symmetry_space_group_name_H-M 'P 4/m m m'
_symmetry_Int_Tables_number 123
_symmetry_space_group_name_Hall '-P 4 2'
_cell_length_a 5.037
_cell_length_b 5.037
_cell_length_c 8.951
_cell_angle_alpha 90.00
_cell_angle_beta 90.00
_cell_angle_gamma 90.00
loop_
_atom_site_label
_atom_site_fract_x
_atom_site_fract_y
_atom_site_fract_z
La1 0.000 0.000 0.000
Er1 0.000 0.000 0.500
Er2 0.500 0.500 0.000
Th1 0.500 0.500 0.500
Sc1 0.000 0.500 0.255
```

Summary:
Total magnetic moment in μB/f.u.: 0.0
Formation energy in kJ/mol of formula units: 37
Calculated total energy in eV per atom: -5.802

=====

Record 4
VASP calculation (GGA-PBE) on a geometry-optimized Pb2Br structure.

Geometry as CIF:
```
data_Pb2Br
_symmetry_space_group_name_H-M 'P n m a'
_symmetry_Int_Tables_number 62
_cell_length_a 6.222
_cell_length_b 5.691
_cell_length_c 11.481
_cell_angle_alpha 90.00
_cell_angle_beta 90.00
_cell_angle_gamma 90.00
loop_
_symmetry_equiv_pos_as_xyz
'x,y,z'
'-x,-y,-z'
'-x+1/2,-y,z+1/2'
'x+1/2,y,-z+1/2'
'x+1/2,-y+1/2,-z+1/2'
'-x+1/2,y+1/2,z+1/2'
'-x,y+1/2,-z'
'x,-y+1/2,z'
loop_
_atom_site_label
_atom_site_fract_x
_atom_site_fract_y
_atom_site_fract_z
Pb1 0.041 0.250 0.228
Pb2 0.057 0.750 0.064
Br1 0.076 0.750 0.387
```

Summary:
Total magnetic moment in μB/f.u.: 0.0
Polymorph energy (0 for the lowest one) in meV per atom: 34
Uncorrected formation energy in eV per atom: -0.24
Calculated total energy in eV per atom: -3.270

=====

Record 5
VASP calculation (GGA-PBE) on a geometry-optimized Ta2MnAg structure.

Geometry as CIF:
```
data_Ta2MnAg
_symmetry_space_group_name_H-M 'C 1 2/m 1'
_symmetry_Int_Tables_number 12
_cell_length_a 9.922
_cell_length_b 2.897
_cell_length_c 4.909
_cell_angle_alpha 90.00
_cell_angle_beta 101.89
_cell_angle_gamma 90.00
loop_
_symmetry_equiv_pos_as_xyz
'x,y,z'
'-x,-y,-z'
'-x,y,-z'
'x,-y,z'
'x+1/2,y+1/2,z'
'-x+1/2,-y+1/2,-z'
'-x+1/2,y+1/2,-z'
'x+1/2,-y+1/2,z'
loop_
_atom_site_label
_atom_site_fract_x
_atom_site_fract_y
_atom_site_fract_z
Ta1 0.248 0.000 0.246
Mn1 0.000 0.500 0.000
Ag1 0.000 0.000 0.500
```

Summary:
Total magnetic moment in μB/f.u.: 3.1
Formation energy in kJ/mol of formula units: 141
Polymorph energy (0 for the lowest one) in meV per atom: 217
Calculated total energy in eV per atom: -8.567

=====

Record 6
VASP calculation (GGA-PBE) on a geometry-optimized Np4PbO12 structure.

Geometry as CIF:
```
data_Np4PbO12
_symmetry_space_group_name_H-M 'I 4/m m m'
_symmetry_Int_Tables_number 139
_symmetry_space_group_name_Hall '-I 4 2'
_cell_length_a 8.396
_cell_length_b 8.396
_cell_length_c 8.309
_cell_angle_alpha 90.00
_cell_angle_beta 90.00
_cell_angle_gamma 90.00
loop_
_atom_site_label
_atom_site_fract_x
_atom_site_fract_y
_atom_site_fract_z
Np1 0.250 0.250 0.250
Pb1 0.000 0.000 0.000
O1 0.000 0.243 0.222
O2 0.234 0.234 0.500
```

Summary:
Total magnetic moment in μB/f.u.: 6.0
Uncorrected formation energy in eV per atom: -2.63
Calculated total energy in eV per atom: -9.396

=====

Record 7
VASP calculation (GGA-PBE) on a geometry-optimized Nb2TcS structure.

Geometry as CIF:
```
data_Nb2TcS
_symmetry_space_group_name_H-M 'I -4 2 d'
_symmetry_Int_Tables_number 122
_symmetry_space_group_name_Hall 'I -4 2bw'
_cell_length_a 5.182
_cell_length_b 5.182
_cell_length_c 13.067
_cell_angle_alpha 90.00
_cell_angle_beta 90.00
_cell_angle_gamma 90.00
loop_
_atom_site_label
_atom_site_fract_x
_atom_site_fract_y
_atom_site_fract_z
Nb1 0.233 0.250 0.125
Tc1 0.000 0.000 0.500
S1 0.000 0.000 0.000
```

Summary:
Total magnetic moment in μB/f.u.: 0.0
Uncorrected formation energy in eV per atom: 0.50
Calculated total energy in eV per atom: -8.154

=====

Record 8
VASP calculation (GGA-PBE) on a geometry-optimized BaLi2PmI8 structure.

Geometry as CIF:
```
data_BaLi2PmI8
_symmetry_space_group_name_H-M 'P -3'
_symmetry_Int_Tables_number 147
_cell_length_a 7.6627
_cell_length_b 7.6627
_cell_length_c 9.9573
_cell_angle_alpha 90.00
_cell_angle_beta 90.00
_cell_angle_gamma 120.00
loop_
_symmetry_equiv_pos_as_xyz
'x,y,z'
'-x,-y,-z'
'-y,x-y,z'
'y,-x+y,-z'
'-x+y,-x,z'
'x-y,x,-z'
loop_
_atom_site_label
_atom_site_fract_x
_atom_site_fract_y
_atom_site_fract_z
Ba1 0.0000 0.0000 0.0000
Li1 0.3333 0.6667 0.7276
Pm1 0.0000 0.0000 0.5000
I1 0.0187 0.6969 0.3035
I2 0.3333 0.6667 0.9996
```

Summary:
Total magnetic moment in μB/f.u.: 0.3
Uncorrected formation energy in eV per atom: -1.16
Calculated total energy in eV per atom: -3.071

=====

Record 9
VASP calculation (GGA-PBE) on a geometry-optimized ReSn2Te structure.

Geometry as CIF:
```
data_ReSn2Te
_symmetry_space_group_name_H-M 'I -4 2 d'
_symmetry_Int_Tables_number 122
_symmetry_space_group_name_Hall 'I -4 2bw'
_cell_length_a 6.479
_cell_length_b 6.479
_cell_length_c 12.842
_cell_angle_alpha 90.00
_cell_angle_beta 90.00
_cell_angle_gamma 90.00
loop_
_atom_site_label
_atom_site_fract_x
_atom_site_fract_y
_atom_site_fract_z
Re1 0.000 0.000 0.000
Sn1 0.192 0.250 0.125
Te1 0.000 0.000 0.500
```

Summary:
Total magnetic moment in μB/f.u.: 0.0
Uncorrected formation energy in eV per atom: 0.81
Calculated total energy in eV per atom: -5.086

=====

Record 10
VASP calculation (GGA-PBE) on a geometry-optimized Ta2TiAs structure.

Geometry as CIF:
```
data_Ta2TiAs
_symmetry_space_group_name_H-M 'P 1 21/m 1'
_symmetry_Int_Tables_number 11
_cell_length_a 3.462
_cell_length_b 8.180
_cell_length_c 5.192
_cell_angle_alpha 90.00
_cell_angle_beta 109.36
_cell_angle_gamma 90.00
loop_
_symmetry_equiv_pos_as_xyz
'x,y,z'
'-x,-y,-z'
'-x,y+1/2,-z'
'x,-y+1/2,z'
loop_
_atom_site_label
_atom_site_fract_x
_atom_site_fract_y
_atom_site_fract_z
Ta1 0.140 0.053 0.278
Ti1 0.462 0.250 0.924
As1 0.248 0.750 0.496
```

Summary:
Total magnetic moment in μB/f.u.: 0.0
Formation energy in kJ/mol of formula units: -156
Calculated total energy in eV per atom: -9.466

=====

Record 11
VASP calculation (GGA-PBE) on a geometry-optimized LaU3Al8 structure.

Geometry as CIF:
```
data_LaU3Al8
_symmetry_space_group_name_H-M 'R 3 m'
_symmetry_Int_Tables_number 160
_symmetry_space_group_name_Hall 'R 3 -2"'
_cell_length_a 5.5886
_cell_length_b 5.5886
_cell_length_c 26.6227
_cell_angle_alpha 90.00
_cell_angle_beta 90.00
_cell_angle_gamma 120.00
loop_
_atom_site_label
_atom_site_fract_x
_atom_site_fract_y
_atom_site_fract_z
La1 0.0000 0.0000 0.0000
U1 0.0000 0.0000 0.1240
U2 0.0000 0.0000 0.5114
U3 0.0000 0.0000 0.6057
Al1 0.0000 0.0000 0.3099
Al2 0.0000 0.0000 0.8113
Al3 0.0020 0.5010 0.0633
Al4 0.1680 0.3359 0.8925
```

Summary:
Total magnetic moment in μB/f.u.: 2.4
Formation energy in kJ/mol of formula units: -255
Calculated total energy in eV per atom: -5.948

=====

Record 12
VASP calculation (GGA-PBE) on a geometry-optimized AgPbBr structure.

Geometry as CIF:
```
data_AgPbBr
_symmetry_space_group_name_H-M 'F -4 3 m'
_symmetry_Int_Tables_number 216
_symmetry_space_group_name_Hall 'F -4 2 3'
_cell_length_a 7.316
_cell_length_b 7.316
_cell_length_c 7.316
_cell_angle_alpha 90.00
_cell_angle_beta 90.00
_cell_angle_gamma 90.00
loop_
_atom_site_label
_atom_site_fract_x
_atom_site_fract_y
_atom_site_fract_z
Ag1 0.000 0.000 0.000
Pb1 0.250 0.250 0.750
Br1 0.000 0.000 0.500
```

Summary:
Total magnetic moment in μB/f.u.: 0.0
Polymorph energy (0 for the lowest one) in meV per atom: 206
Uncorrected formation energy in eV per atom: 0.04
Calculated total energy in eV per atom: -2.704

=====

Record 13
VASP calculation (GGA-PBE) on a geometry-optimized CsScTe2Pd structure.

Geometry as CIF:
```
data_CsScTe2Pd
_symmetry_space_group_name_H-M 'P 4/m m m'
_symmetry_Int_Tables_number 123
_symmetry_space_group_name_Hall '-P 4 2'
_cell_length_a 5.493
_cell_length_b 5.493
_cell_length_c 6.764
_cell_angle_alpha 90.00
_cell_angle_beta 90.00
_cell_angle_gamma 90.00
loop_
_atom_site_label
_atom_site_fract_x
_atom_site_fract_y
_atom_site_fract_z
Cs1 0.000 0.000 0.000
Sc1 0.000 0.000 0.500
Te1 0.000 0.500 0.500
Pd1 0.500 0.500 0.000
```

Summary:
Total magnetic moment in μB/f.u.: 0.2
Uncorrected formation energy in eV per atom: 0.09
Calculated total energy in eV per atom: -3.640

=====

Record 14
VASP calculation (GGA-PBE) on a geometry-optimized LiMgInTe2 structure.

Geometry as CIF:
```
data_LiMgInTe2
_symmetry_space_group_name_H-M 'P 4/m m m'
_symmetry_Int_Tables_number 123
_symmetry_space_group_name_Hall '-P 4 2'
_cell_length_a 5.641
_cell_length_b 5.641
_cell_length_c 5.393
_cell_angle_alpha 90.00
_cell_angle_beta 90.00
_cell_angle_gamma 90.00
loop_
_atom_site_label
_atom_site_fract_x
_atom_site_fract_y
_atom_site_fract_z
Li1 0.000 0.000 0.000
Mg1 0.500 0.500 0.500
In1 0.500 0.500 0.000
Te1 0.000 0.500 0.500
```

Summary:
Total magnetic moment in μB/f.u.: 0.0
Uncorrected formation energy in eV per atom: -0.08
Calculated total energy in eV per atom: -2.583

=====

Record 15
VASP calculation (GGA-PBE) on a geometry-optimized V3NiC structure.

Geometry as CIF:
```
data_V3NiC
_symmetry_space_group_name_H-M 'P 1 21/m 1'
_symmetry_Int_Tables_number 11
_cell_length_a 5.504
_cell_length_b 2.887
_cell_length_c 7.774
_cell_angle_alpha 90.00
_cell_angle_beta 110.65
_cell_angle_gamma 90.00
loop_
_symmetry_equiv_pos_as_xyz
'x,y,z'
'-x,-y,-z'
'-x,y+1/2,-z'
'x,-y+1/2,z'
loop_
_atom_site_label
_atom_site_fract_x
_atom_site_fract_y
_atom_site_fract_z
V1 0.103 0.250 0.417
V2 0.182 0.750 0.135
V3 0.311 0.250 0.842
Ni1 0.452 0.750 0.619
C1 0.067 0.750 0.859
```

Summary:
Total magnetic moment in μB/f.u.: 0.0
Formation energy in kJ/mol of formula units: -134
Polymorph energy (0 for the lowest one) in meV per atom: 0
Calculated total energy in eV per atom: -8.750

=====

Record 16
VASP calculation (GGA-PBE) on a geometry-optimized LiPdS6 structure.

Geometry as CIF:
```
data_LiPdS6
_symmetry_space_group_name_H-M 'P -1'
_symmetry_Int_Tables_number 2
_cell_length_a 5.644
_cell_length_b 6.019
_cell_length_c 6.038
_cell_angle_alpha 97.02
_cell_angle_beta 111.67
_cell_angle_gamma 90.13
loop_
_symmetry_equiv_pos_as_xyz
'x,y,z'
'-x,-y,-z'
loop_
_atom_site_label
_atom_site_fract_x
_atom_site_fract_y
_atom_site_fract_z
Li1 0.000 0.000 0.000
Pd1 0.500 0.500 0.000
S1 0.153 0.607 0.091
S2 0.271 0.168 0.754
S3 0.499 0.053 0.335
```

Summary:
Total magnetic moment in μB/f.u.: 0.0
Uncorrected formation energy in eV per atom: -0.26
Calculated total energy in eV per atom: -4.240

=====

Record 17
VASP calculation (GGA-PBE) on a geometry-optimized YbNdRh2 structure.

Geometry as CIF:
```
data_YbNdRh2
_symmetry_space_group_name_H-M 'F m -3 m'
_symmetry_Int_Tables_number 225
_symmetry_space_group_name_Hall '-F 4 2 3'
_cell_length_a 6.946
_cell_length_b 6.946
_cell_length_c 6.946
_cell_angle_alpha 90.00
_cell_angle_beta 90.00
_cell_angle_gamma 90.00
loop_
_atom_site_label
_atom_site_fract_x
_atom_site_fract_y
_atom_site_fract_z
Yb1 0.000 0.000 0.000
Nd1 0.000 0.000 0.500
Rh1 0.250 0.250 0.250
```

Summary:
Total magnetic moment in μB/f.u.: 0.3
Formation energy in kJ/mol of formula units: -239
Calculated total energy in eV per atom: -5.868

=====

Record 18
VASP calculation (GGA-PBE) on a geometry-optimized LiSmYRu structure.

Geometry as CIF:
```
data_LiSmYRu
_symmetry_space_group_name_H-M 'F -4 3 m'
_symmetry_Int_Tables_number 216
_symmetry_space_group_name_Hall 'F -4 2 3'
_cell_length_a 7.028
_cell_length_b 7.028
_cell_length_c 7.028
_cell_angle_alpha 90.00
_cell_angle_beta 90.00
_cell_angle_gamma 90.00
loop_
_atom_site_label
_atom_site_fract_x
_atom_site_fract_y
_atom_site_fract_z
Li1 0.000 0.000 0.000
Sm1 0.250 0.250 0.250
Y1 0.250 0.250 0.750
Ru1 0.000 0.000 0.500
```

Summary:
Total magnetic moment in μB/f.u.: 0.0
Formation energy in kJ/mol of formula units: -87
Calculated total energy in eV per atom: -5.819

=====

Record 19
VASP calculation (GGA-PBE) on a geometry-optimized Mg4Ga2Rh structure.

Geometry as CIF:
```
data_Mg4Ga2Rh
_symmetry_space_group_name_H-M 'I 4/m m m'
_symmetry_Int_Tables_number 139
_symmetry_space_group_name_Hall '-I 4 2'
_cell_length_a 5.003
_cell_length_b 5.003
_cell_length_c 13.216
_cell_angle_alpha 90.00
_cell_angle_beta 90.00
_cell_angle_gamma 90.00
loop_
_atom_site_label
_atom_site_fract_x
_atom_site_fract_y
_atom_site_fract_z
Mg1 0.000 0.000 0.190
Mg2 0.000 0.500 0.000
Ga1 0.000 0.000 0.395
Rh1 0.000 0.000 0.000
```

Summary:
Total magnetic moment in μB/f.u.: 0.0
Formation energy in kJ/mol of formula units: 14
Calculated total energy in eV per atom: -2.805

=====

Record 20
VASP calculation (GGA-PBE) on a geometry-optimized LiOs2Pb structure.

Geometry as CIF:
```
data_LiOs2Pb
_symmetry_space_group_name_H-M 'I -4 m 2'
_symmetry_Int_Tables_number 119
_symmetry_space_group_name_Hall 'I -4 -2'
_cell_length_a 4.506
_cell_length_b 4.506
_cell_length_c 6.321
_cell_angle_alpha 90.00
_cell_angle_beta 90.00
_cell_angle_gamma 90.00
loop_
_atom_site_label
_atom_site_fract_x
_atom_site_fract_y
_atom_site_fract_z
Li1 0.000 0.000 0.000
Os1 0.000 0.000 0.500
Os2 0.000 0.500 0.250
Pb1 0.000 0.500 0.750
```

Summary:
Total magnetic moment in μB/f.u.: 0.8
Formation energy in kJ/mol of formula units: 237
Calculated total energy in eV per atom: -6.406